[1]
! AgPtAu2, relaxed, DFT GGA-PBEsol; values from VASP
&SYSTEM
  ibrav = 0, nat = 4, ntyp = 3
/
ATOMIC_SPECIES
Au 196.97 Au.upf
Pt 195.08 Pt.upf
Ag 107.87 Ag.upf
CELL_PARAMETERS angstrom
-0.161 -2.258 -1.650
3.903 0.431 -0.971
1.467 -3.334 4.418
ATOMIC_POSITIONS angstrom
Au 1.104 -2.510 3.326
Au 0.202 -3.082 -0.558
Pt 1.871 -0.913 -1.311
Ag 2.605 -2.581 0.899
! ρ in g cm⁻³: 17.83
! Energy relative to the lowest polymorph listed for this composition in eV per atom: 0.014
! E_form in eV per atom: -0.002
! N(E_F) in states/eV per cell: 1.357


[2]
! AgPtAu2, relaxed, DFT GGA-PBEsol; values from VASP
&SYSTEM
  ibrav = 0, nat = 4, ntyp = 3
/
ATOMIC_SPECIES
Au 196.97 Au.upf
Pt 195.08 Pt.upf
Ag 107.87 Ag.upf
CELL_PARAMETERS angstrom
2.818 0.000 0.000
1.409 2.441 0.000
1.409 0.814 9.424
ATOMIC_POSITIONS angstrom
Au 1.409 0.814 2.367
Au 4.228 2.441 7.057
Pt 2.818 1.627 4.712
Ag 0.000 0.000 0.000
! ρ in g cm⁻³: 17.85
! Energy relative to the lowest polymorph listed for this composition in eV per atom: 0.003
! E_form in eV per atom: -0.012
! N(E_F) in states/eV per cell: 1.493


[3]
! AgPtAu2, relaxed, DFT GGA-PBEsol; values from VASP
&SYSTEM
  ibrav = 0, nat = 4, ntyp = 3
/
ATOMIC_SPECIES
Au 196.97 Au.upf
Pt 195.08 Pt.upf
Ag 107.87 Ag.upf
CELL_PARAMETERS angstrom
2.810 0.000 0.000
1.405 2.433 0.000
1.405 0.811 9.491
ATOMIC_POSITIONS angstrom
Au 4.214 2.433 0.029
Au 4.214 2.433 7.075
Pt 2.810 1.622 4.720
Ag 1.405 0.811 2.413
! ρ in g cm⁻³: 17.84
! Energy relative to the lowest polymorph listed for this composition in eV per atom: 0.000
! E_form in eV per atom: -0.015
! N(E_F) in states/eV per cell: 1.371


[4]
! AgPtAu2, relaxed, DFT GGA-PBEsol; values from VASP
&SYSTEM
  ibrav = 0, nat = 4, ntyp = 3
/
ATOMIC_SPECIES
Au 196.97 Au.upf
Pt 195.08 Pt.upf
Ag 107.87 Ag.upf
CELL_PARAMETERS angstrom
-0.991 2.321 1.289
-2.419 -0.416 -4.227
-2.903 -2.838 2.881
ATOMIC_POSITIONS angstrom
Au -4.155 -0.599 0.999
Au -2.158 -0.335 -1.056
Pt -0.495 1.160 0.644
Ag -1.451 -1.419 1.440
! ρ in g cm⁻³: 17.80
! Energy relative to the lowest polymorph listed for this composition in eV per atom: 0.023
! E_form in eV per atom: 0.008
! N(E_F) in states/eV per cell: 1.336


Q: Number 3 is which compound?
A: AgPtAu2


Q: Among the records above, which one has the lowest E_form?
A: number 3